# 1
Material: AsIr2Se
Method: DFT, PBE
State: relaxed

```
data_AsIr2Se
_symmetry_space_group_name_H-M 'P 1'
_symmetry_Int_Tables_number 1
_symmetry_space_group_name_Hall 'P 1'
_cell_length_a 4.604
_cell_length_b 4.604
_cell_length_c 3.018
_cell_angle_alpha 90.00
_cell_angle_beta 90.00
_cell_angle_gamma 96.79
loop_
_atom_site_label
_atom_site_type_symbol
_atom_site_fract_x
_atom_site_fract_y
_atom_site_fract_z
Se1 Se 0.500 0.000 0.500
Ir1 Ir 0.500 0.500 0.000
Ir2 Ir 0.000 0.000 0.000
As1 As 0.000 0.500 0.500
```

## Properties
E_form (uncorrected)	150	kJ/mol of formula units
crystal system	orthorhombic
ΔE to the lowest computed polymorph	0.351	eV/atom

=====

# 2
Material: Rh4Se
Method: DFT, PBE
State: relaxed

```
data_Rh4Se
_symmetry_space_group_name_H-M 'P 1'
_symmetry_Int_Tables_number 1
_symmetry_space_group_name_Hall 'P 1'
_cell_length_a 4.820
_cell_length_b 4.820
_cell_length_c 4.820
_cell_angle_alpha 109.47
_cell_angle_beta 109.47
_cell_angle_gamma 109.47
loop_
_atom_site_label
_atom_site_type_symbol
_atom_site_fract_x
_atom_site_fract_y
_atom_site_fract_z
Rh1 Rh 0.000 0.000 0.500
Rh2 Rh 0.000 0.500 0.000
Rh3 Rh 0.500 0.500 0.500
Rh4 Rh 0.500 0.000 0.000
Se1 Se 0.000 0.000 0.000
```

## Properties
E_form (uncorrected)	216	kJ/mol of formula units
crystal system	cubic

=====

# 3
Material: Ca2CdGa
Method: DFT, PBE
State: relaxed

```
data_Ca2CdGa
_symmetry_space_group_name_H-M 'P 1'
_symmetry_Int_Tables_number 1
_symmetry_space_group_name_Hall 'P 1'
_cell_length_a 3.746
_cell_length_b 3.746
_cell_length_c 7.553
_cell_angle_alpha 90.00
_cell_angle_beta 90.00
_cell_angle_gamma 90.00
loop_
_atom_site_label
_atom_site_type_symbol
_atom_site_fract_x
_atom_site_fract_y
_atom_site_fract_z
Ga1 Ga 0.500 0.500 0.000
Ca1 Ca 0.000 0.000 0.236
Ca2 Ca 0.000 0.000 0.764
Cd1 Cd 0.500 0.500 0.500
```

## Properties
crystal system	tetragonal
DFT formation energy	-9.42	kcal/mol of atoms

=====

# 4
Material: Mg2CuW
Method: DFT, PBE
State: relaxed

```
data_Mg2CuW
_symmetry_space_group_name_H-M 'P 1'
_symmetry_Int_Tables_number 1
_symmetry_space_group_name_Hall 'P 1'
_cell_length_a 7.196
_cell_length_b 7.196
_cell_length_c 5.751
_cell_angle_alpha 51.27
_cell_angle_beta 51.27
_cell_angle_gamma 90.00
loop_
_atom_site_label
_atom_site_type_symbol
_atom_site_fract_x
_atom_site_fract_y
_atom_site_fract_z
Mg1 Mg 0.375 0.411 0.750
Cu1 Cu 0.250 0.750 0.500
W1 W 0.750 0.250 0.500
Mg2 Mg 0.161 0.625 0.250
Mg3 Mg 0.875 0.839 0.750
Mg4 Mg 0.589 0.125 0.250
W2 W 0.000 0.000 0.000
Cu2 Cu 0.500 0.500 0.000
```

## Properties
crystal system	tetragonal
DFT formation energy	20.11	kcal/mol of atoms
ΔE to the lowest computed polymorph	0.648	eV/atom

=====

# 5
Material: Tl2MoBr
Method: DFT, PBE
State: relaxed

```
data_Tl2MoBr
_symmetry_space_group_name_H-M 'P 1'
_symmetry_Int_Tables_number 1
_symmetry_space_group_name_Hall 'P 1'
_cell_length_a 4.758
_cell_length_b 3.556
_cell_length_c 5.935
_cell_angle_alpha 72.60
_cell_angle_beta 90.00
_cell_angle_gamma 90.00
loop_
_atom_site_label
_atom_site_type_symbol
_atom_site_fract_x
_atom_site_fract_y
_atom_site_fract_z
Mo1 Mo 0.500 0.548 0.777
Tl1 Tl 0.000 0.970 0.934
Tl2 Tl 0.500 0.290 0.298
Br1 Br 0.000 0.692 0.491
```

## Properties
E_form (uncorrected)	193	kJ/mol of formula units
crystal system	monoclinic
ΔE to the lowest computed polymorph	0.229	eV/atom

=====

# 6
Material: Gd3CdS
Method: DFT, PBE
State: relaxed

```
data_Gd3CdS
_symmetry_space_group_name_H-M 'P 1'
_symmetry_Int_Tables_number 1
_symmetry_space_group_name_Hall 'P 1'
_cell_length_a 5.251
_cell_length_b 5.251
_cell_length_c 5.251
_cell_angle_alpha 90.00
_cell_angle_beta 90.00
_cell_angle_gamma 90.00
loop_
_atom_site_label
_atom_site_type_symbol
_atom_site_fract_x
_atom_site_fract_y
_atom_site_fract_z
Cd1 Cd 0.500 0.500 0.500
S1 S 0.000 0.000 0.000
Gd1 Gd 0.000 0.500 0.000
Gd2 Gd 0.500 0.000 0.000
Gd3 Gd 0.000 0.000 0.500
```

## Properties
E_form (uncorrected)	-370	kJ/mol of formula units
crystal system	cubic

=====

# 7
Material: MgReAu2I
Method: DFT, PBE
State: relaxed

```
data_MgReAu2I
_symmetry_space_group_name_H-M 'P 1'
_symmetry_Int_Tables_number 1
_symmetry_space_group_name_Hall 'P 1'
_cell_length_a 5.281
_cell_length_b 4.911
_cell_length_c 5.281
_cell_angle_alpha 90.00
_cell_angle_beta 90.00
_cell_angle_gamma 90.00
loop_
_atom_site_label
_atom_site_type_symbol
_atom_site_fract_x
_atom_site_fract_y
_atom_site_fract_z
I1 I 0.000 0.000 0.000
Re1 Re 0.000 0.500 0.000
Mg1 Mg 0.500 0.500 0.500
Au1 Au 0.000 0.000 0.500
Au2 Au 0.500 0.000 0.000
```

## Properties
E_form (uncorrected)	770	kJ/mol of formula units
crystal system	tetragonal

=====

# 8
Material: Tb3Pm3ErS8
Method: DFT, PBE
State: relaxed

```
data_Tb3Pm3ErS8
_symmetry_space_group_name_H-M 'P 1'
_symmetry_Int_Tables_number 1
_symmetry_space_group_name_Hall 'P 1'
_cell_length_a 7.910
_cell_length_b 7.910
_cell_length_c 7.958
_cell_angle_alpha 119.80
_cell_angle_beta 90.00
_cell_angle_gamma 120.00
loop_
_atom_site_label
_atom_site_type_symbol
_atom_site_fract_x
_atom_site_fract_y
_atom_site_fract_z
S1 S 0.749 0.994 0.739
Tb1 Tb 0.000 0.500 0.500
Tb2 Tb 0.500 0.000 0.500
Pm1 Pm 0.000 0.500 0.000
Pm2 Pm 0.500 0.500 0.000
Pm3 Pm 0.000 0.000 0.000
S2 S 0.747 0.494 0.741
S3 S 0.251 0.006 0.261
S4 S 0.755 0.006 0.261
S5 S 0.755 0.510 0.261
S6 S 0.245 0.490 0.739
S7 S 0.245 0.994 0.739
Tb3 Tb 0.500 0.500 0.500
S8 S 0.253 0.506 0.259
Er1 Er 0.000 0.000 0.500
```

## Properties
E_form (uncorrected)	-2984	kJ/mol of formula units
crystal system	trigonal

=====

# 9
Material: PbC2S
Method: DFT, PBE
State: relaxed

```
data_PbC2S
_symmetry_space_group_name_H-M 'P 1'
_symmetry_Int_Tables_number 1
_symmetry_space_group_name_Hall 'P 1'
_cell_length_a 4.328
_cell_length_b 4.328
_cell_length_c 4.328
_cell_angle_alpha 60.00
_cell_angle_beta 60.00
_cell_angle_gamma 60.00
loop_
_atom_site_label
_atom_site_type_symbol
_atom_site_fract_x
_atom_site_fract_y
_atom_site_fract_z
C1 C 0.250 0.250 0.250
C2 C 0.750 0.750 0.750
S1 S 0.000 0.000 0.000
Pb1 Pb 0.500 0.500 0.500
```

## Properties
E_form (uncorrected)	1014	kJ/mol of formula units
crystal system	cubic
ΔE to the lowest computed polymorph	1.058	eV/atom

=====

# 10
Material: Nd4CdGa
Method: DFT, PBE
State: relaxed

```
data_Nd4CdGa
_symmetry_space_group_name_H-M 'P 1'
_symmetry_Int_Tables_number 1
_symmetry_space_group_name_Hall 'P 1'
_cell_length_a 12.617
_cell_length_b 5.345
_cell_length_c 5.343
_cell_angle_alpha 90.00
_cell_angle_beta 89.99
_cell_angle_gamma 90.00
loop_
_atom_site_label
_atom_site_type_symbol
_atom_site_fract_x
_atom_site_fract_y
_atom_site_fract_z
Nd1 Nd 0.649 0.500 0.500
Cd1 Cd 0.500 0.500 0.000
Nd2 Nd 0.149 0.500 0.000
Nd3 Nd 0.851 0.000 0.500
Nd4 Nd 0.149 0.000 0.500
Nd5 Nd 0.851 0.500 0.000
Ga1 Ga 0.500 0.000 0.500
Nd6 Nd 0.649 0.000 0.000
Nd7 Nd 0.351 0.000 0.000
Nd8 Nd 0.351 0.500 0.500
Ga2 Ga 0.000 0.500 0.500
Cd2 Cd 0.000 0.000 0.000
```

## Properties
crystal system	orthorhombic
DFT formation energy	-5.85	kcal/mol of atoms
ΔE to the lowest computed polymorph	0.011	eV/atom

=====

# 11
Material: BeRhF
Method: DFT, PBE
State: relaxed

```
data_BeRhF
_symmetry_space_group_name_H-M 'P 1'
_symmetry_Int_Tables_number 1
_symmetry_space_group_name_Hall 'P 1'
_cell_length_a 11.062
_cell_length_b 2.657
_cell_length_c 2.657
_cell_angle_alpha 120.00
_cell_angle_beta 89.79
_cell_angle_gamma 90.22
loop_
_atom_site_label
_atom_site_type_symbol
_atom_site_fract_x
_atom_site_fract_y
_atom_site_fract_z
Rh1 Rh 0.372 0.338 0.912
Be1 Be 0.757 0.342 0.908
Be2 Be 0.199 0.003 0.247
F1 F 0.837 0.009 0.241
Rh2 Rh 0.585 0.673 0.576
F2 F 0.119 0.668 0.581
```

## Properties
E_form (uncorrected)	-418	kJ/mol of formula units
crystal system	monoclinic
ΔE to the lowest computed polymorph	0.001	eV/atom

=====

# 12
Material: TlMo2Pt
Method: DFT, PBE
State: relaxed

```
data_TlMo2Pt
_symmetry_space_group_name_H-M 'P 1'
_symmetry_Int_Tables_number 1
_symmetry_space_group_name_Hall 'P 1'
_cell_length_a 4.612
_cell_length_b 4.612
_cell_length_c 4.612
_cell_angle_alpha 60.00
_cell_angle_beta 60.00
_cell_angle_gamma 60.00
loop_
_atom_site_label
_atom_site_type_symbol
_atom_site_fract_x
_atom_site_fract_y
_atom_site_fract_z
Tl1 Tl 0.500 0.500 0.500
Pt1 Pt 0.000 0.000 0.000
Mo1 Mo 0.750 0.750 0.750
Mo2 Mo 0.250 0.250 0.250
```

## Properties
crystal system	cubic
DFT formation energy	13.30	kcal/mol of atoms
ΔE to the lowest computed polymorph	0.313	eV/atom

=====

# 13
Material: HoEr3Se6
Method: DFT, PBE
State: relaxed

```
data_HoEr3Se6
_symmetry_space_group_name_H-M 'P 1'
_symmetry_Int_Tables_number 1
_symmetry_space_group_name_Hall 'P 1'
_cell_length_a 7.141
_cell_length_b 7.141
_cell_length_c 7.657
_cell_angle_alpha 62.20
_cell_angle_beta 62.20
_cell_angle_gamma 60.00
loop_
_atom_site_label
_atom_site_type_symbol
_atom_site_fract_x
_atom_site_fract_y
_atom_site_fract_z
Ho1 Ho 0.848 0.848 0.457
Se1 Se 0.056 0.443 0.751
Er1 Er 0.153 0.153 0.542
Se2 Se 0.555 0.251 0.250
Se3 Se 0.944 0.555 0.250
Se4 Se 0.443 0.750 0.751
Er2 Er 0.653 0.653 0.042
Se5 Se 0.750 0.056 0.751
Er3 Er 0.347 0.347 0.958
Se6 Se 0.251 0.944 0.250
```

## Properties
E_form (uncorrected)	-1781	kJ/mol of formula units
crystal system	trigonal
ΔE to the lowest computed polymorph	0.000	eV/atom